CrRuSCl2 (PBE-GGA, optimized geometry); raw formation energy = 1.07 eV per atom; space group = P4/mmm (123); VASP energy = -4.276 eV/atom; energy relative to the lowest polymorph listed for this composition = 4.13 eV per formula unit; calculated density = 3.3 Mg/m³
1.0
-1.129 -3.360 -4.228
1.292 -3.367 2.331
-5.139 -0.660 1.897
Cl Cr Ru S
2 1 1 1
Direct
0.500 0.000 0.000
0.000 0.000 0.500
0.000 0.500 0.000
0.500 0.500 0.500
0.000 0.000 0.000